Entry from the Alexandria database: a relaxed TmNi4Au crystal (GGA-PBEsol).

Values from the calculation:
Formation enthalpy at 0 K   -429 meV/atom
DOS(E_F)   1.118 states/eV per atom

The structure in CIF format:
```
data_TmNi4Au
_chemical_formula_sum 'Tm4 Ni16 Au4'
_cell_length_a 6.818
_cell_length_b 6.818
_cell_length_c 6.818
_cell_angle_alpha 90.00
_cell_angle_beta 90.00
_cell_angle_gamma 90.00
_space_group_name_H-M_alt 'F -4 3 m'
_space_group_IT_number 216
_space_group_name_Hall 'F -4 2 3'
loop_
_atom_site_label
_atom_site_type_symbol
_atom_site_fract_x
_atom_site_fract_y
_atom_site_fract_z
Tm1 Tm 0.000 0.000 0.000
Ni1 Ni 0.124 0.124 0.624
Au1 Au 0.250 0.250 0.250
```

---

Entry from the Alexandria database: a relaxed Ba2CrFeH crystal (GGA-PBEsol).

Values from the calculation:
VASP energy   -4.409 eV/atom
DOS(E_F)   1.155 states/eV per atom

The structure in CIF format:
```
data_Ba2CrFeH
_chemical_formula_sum 'Ba2 Cr1 Fe1 H1'
_cell_length_a 5.968
_cell_length_b 5.968
_cell_length_c 3.416
_cell_angle_alpha 90.00
_cell_angle_beta 90.00
_cell_angle_gamma 90.00
_space_group_name_H-M_alt 'P 4/m m m'
_space_group_IT_number 123
_space_group_name_Hall '-P 4 2'
loop_
_atom_site_label
_atom_site_type_symbol
_atom_site_fract_x
_atom_site_fract_y
_atom_site_fract_z
Ba1 Ba 0.000 0.500 0.000
Cr1 Cr 0.000 0.000 0.000
Fe1 Fe 0.500 0.500 0.500
H1 H 0.000 0.000 0.500
```

---

Entry from the Alexandria database: a relaxed SiTe3F crystal (GGA-PBEsol).

Values from the calculation:
DOS(E_F)   0.954 states/eV per atom
E above lowest polymorph   0.00 kcal/mol of atoms

The structure in CIF format:
```
data_SiTe3F
_chemical_formula_sum 'Si1 Te3 F1'
_cell_length_a 5.129
_cell_length_b 5.129
_cell_length_c 5.129
_cell_angle_alpha 90.00
_cell_angle_beta 90.00
_cell_angle_gamma 90.00
_space_group_name_H-M_alt 'P m -3 m'
_space_group_IT_number 221
_space_group_name_Hall '-P 4 2 3'
loop_
_atom_site_label
_atom_site_type_symbol
_atom_site_fract_x
_atom_site_fract_y
_atom_site_fract_z
Si1 Si 0.000 0.000 0.000
Te1 Te 0.000 0.000 0.500
F1 F 0.500 0.500 0.500
```

---

Entry from the Alexandria database: a relaxed CsCuN crystal (GGA-PBEsol).

Values from the calculation:
VASP energy   -4.329 eV/atom
DOS(E_F)   0.433 states/eV per atom

The structure in CIF format:
```
data_CsCuN
_chemical_formula_sum 'Cs1 Cu1 N1'
_cell_length_a 5.3900
_cell_length_b 5.3900
_cell_length_c 3.4788
_cell_angle_alpha 90.00
_cell_angle_beta 90.00
_cell_angle_gamma 120.00
_space_group_name_H-M_alt 'P -6 m 2'
_space_group_IT_number 187
_space_group_name_Hall 'P -6 2'
loop_
_atom_site_label
_atom_site_type_symbol
_atom_site_fract_x
_atom_site_fract_y
_atom_site_fract_z
Cs1 Cs 0.0000 0.0000 0.0000
Cu1 Cu 0.3333 0.6667 0.5000
N1 N 0.3333 0.6667 0.0000
```

---

Entry from the Alexandria database: a relaxed La3AgSnSe7 crystal (GGA-PBEsol).

Values from the calculation:
VASP energy   -5.619 eV/atom

The structure in CIF format:
```
data_La3AgSnSe7
_chemical_formula_sum 'La6 Ag2 Sn2 Se14'
_cell_length_a 10.7369
_cell_length_b 10.7369
_cell_length_c 6.1775
_cell_angle_alpha 90.00
_cell_angle_beta 90.00
_cell_angle_gamma 120.00
_space_group_name_H-M_alt 'P 63'
_space_group_IT_number 173
loop_
_space_group_symop_operation_xyz
'x,y,z'
'x-y,x,z+1/2'
'-y,x-y,z'
'-x,-y,z+1/2'
'-x+y,-x,z'
'y,-x+y,z+1/2'
loop_
_atom_site_label
_atom_site_type_symbol
_atom_site_fract_x
_atom_site_fract_y
_atom_site_fract_z
La1 La 0.1338 0.3567 0.0000
Ag1 Ag 0.0000 0.0000 0.0477
Sn1 Sn 0.3333 0.6667 0.4185
Se1 Se 0.0853 0.5727 0.2476
Se2 Se 0.1030 0.2700 0.5166
Se3 Se 0.3333 0.6667 0.8227
```

---

Entry from the Alexandria database: a relaxed LaReAs3 crystal (GGA-PBEsol).

Values from the calculation:
Formation enthalpy at 0 K   1919 meV/atom
DOS(E_F)   1.122 states/eV per atom

The structure in CIF format:
```
data_LaReAs3
_chemical_formula_sum 'La1 Re1 As3'
_cell_length_a 5.451
_cell_length_b 5.451
_cell_length_c 5.451
_cell_angle_alpha 90.00
_cell_angle_beta 90.00
_cell_angle_gamma 90.00
_space_group_name_H-M_alt 'P m -3 m'
_space_group_IT_number 221
_space_group_name_Hall '-P 4 2 3'
loop_
_atom_site_label
_atom_site_type_symbol
_atom_site_fract_x
_atom_site_fract_y
_atom_site_fract_z
La1 La 0.000 0.000 0.000
Re1 Re 0.500 0.500 0.500
As1 As 0.000 0.000 0.500
```

---

Entry from the Alexandria database: a relaxed CeYFe17 crystal (GGA-PBEsol).

Values from the calculation:
Formation enthalpy at 0 K   34 meV/atom
DOS(E_F)   1.471 states/eV per atom

The structure in CIF format:
```
data_CeYFe17
_chemical_formula_sum 'Ce3 Y3 Fe51'
_cell_length_a 8.1789
_cell_length_b 8.1789
_cell_length_c 12.1163
_cell_angle_alpha 90.00
_cell_angle_beta 90.00
_cell_angle_gamma 120.00
_space_group_name_H-M_alt 'R 3 m'
_space_group_IT_number 160
_space_group_name_Hall 'R 3 -2"'
loop_
_atom_site_label
_atom_site_type_symbol
_atom_site_fract_x
_atom_site_fract_y
_atom_site_fract_z
Ce1 Ce 0.0000 0.0000 0.0000
Y1 Y 0.0000 0.0000 0.3178
Fe1 Fe 0.0000 0.0000 0.5642
Fe2 Fe 0.0000 0.0000 0.7541
Fe3 Fe 0.9998 0.2939 0.6578
Fe4 Fe 0.0009 0.5005 0.8176
Fe5 Fe 0.0016 0.5008 0.4988
Fe6 Fe 0.0028 0.5014 0.1571
```

---

Entry from the Alexandria database: a relaxed WO2F crystal (GGA-PBEsol).

Values from the calculation:
DOS(E_F)   0.321 states/eV per atom
E above lowest polymorph   2.54 kcal/mol of atoms

The structure in CIF format:
```
data_WO2F
_chemical_formula_sum 'W1 O2 F1'
_cell_length_a 3.792
_cell_length_b 3.792
_cell_length_c 4.017
_cell_angle_alpha 90.00
_cell_angle_beta 90.00
_cell_angle_gamma 90.00
_space_group_name_H-M_alt 'P 4/m m m'
_space_group_IT_number 123
_space_group_name_Hall '-P 4 2'
loop_
_atom_site_label
_atom_site_type_symbol
_atom_site_fract_x
_atom_site_fract_y
_atom_site_fract_z
W1 W 0.000 0.000 0.000
O1 O 0.000 0.500 0.000
F1 F 0.000 0.000 0.500
```

---

Entry from the Alexandria database: a relaxed NiRuPt2 crystal (GGA-PBEsol).

Values from the calculation:
Formation enthalpy at 0 K   34 meV/atom
DOS(E_F)   1.272 states/eV per atom
E above lowest polymorph   1.28 kcal/mol of atoms

The structure in CIF format:
```
data_NiRuPt2
_chemical_formula_sum 'Ni3 Ru3 Pt6'
_cell_length_a 2.6891
_cell_length_b 2.6891
_cell_length_c 25.9977
_cell_angle_alpha 90.00
_cell_angle_beta 90.00
_cell_angle_gamma 120.00
_space_group_name_H-M_alt 'R 3 m'
_space_group_IT_number 160
_space_group_name_Hall 'R 3 -2"'
loop_
_atom_site_label
_atom_site_type_symbol
_atom_site_fract_x
_atom_site_fract_y
_atom_site_fract_z
Ni1 Ni 0.0000 0.0000 0.0000
Ru1 Ru 0.0000 0.0000 0.2587
Pt1 Pt 0.0000 0.0000 0.5062
Pt2 Pt 0.0000 0.0000 0.7476
```

---

Entry from the Alexandria database: a relaxed Ag2POs crystal (GGA-PBEsol).

Values from the calculation:
Formation enthalpy at 0 K   115 meV/atom
DOS(E_F)   0.503 states/eV per atom

The structure in CIF format:
```
data_Ag2POs
_chemical_formula_sum 'Ag6 P3 Os3'
_cell_length_a 2.8932
_cell_length_b 2.8932
_cell_length_c 25.7081
_cell_angle_alpha 90.00
_cell_angle_beta 90.00
_cell_angle_gamma 120.00
_space_group_name_H-M_alt 'R 3 m'
_space_group_IT_number 160
_space_group_name_Hall 'R 3 -2"'
loop_
_atom_site_label
_atom_site_type_symbol
_atom_site_fract_x
_atom_site_fract_y
_atom_site_fract_z
Ag1 Ag 0.0000 0.0000 0.0000
Ag2 Ag 0.0000 0.0000 0.2435
P1 P 0.0000 0.0000 0.4867
Os1 Os 0.0000 0.0000 0.7581
```

---

Entry from the Alexandria database: a relaxed Ag6Pt5 crystal (GGA-PBEsol).

Values from the calculation:
Formation enthalpy at 0 K   31 meV/atom
DOS(E_F)   0.716 states/eV per atom
E above lowest polymorph   0.81 kcal/mol of atoms

The structure in CIF format:
```
data_Ag6Pt5
_chemical_formula_sum 'Ag6 Pt5'
_cell_length_a 4.895
_cell_length_b 6.264
_cell_length_c 6.276
_cell_angle_alpha 107.53
_cell_angle_beta 105.17
_cell_angle_gamma 97.02
_space_group_name_H-M_alt 'P 1'
_space_group_IT_number 1
loop_
_space_group_symop_operation_xyz
'x,y,z'
loop_
_atom_site_label
_atom_site_type_symbol
_atom_site_fract_x
_atom_site_fract_y
_atom_site_fract_z
Ag1 Ag 0.000 0.000 0.000
Ag2 Ag 0.088 0.819 0.364
Ag3 Ag 0.176 0.640 0.728
Ag4 Ag 0.266 0.454 0.092
Ag5 Ag 0.543 0.911 0.181
Ag6 Ag 0.909 0.180 0.630
Pt1 Pt 0.360 0.279 0.456
Pt2 Pt 0.466 0.096 0.812
Pt3 Pt 0.631 0.722 0.552
Pt4 Pt 0.717 0.538 0.907
Pt5 Pt 0.804 0.367 0.267
```

---

Entry from the Alexandria database: a relaxed Cr2FeP crystal (GGA-PBEsol).

Values from the calculation:
Formation enthalpy at 0 K   -203 meV/atom
DOS(E_F)   1.338 states/eV per atom

The structure in CIF format:
```
data_Cr2FeP
_chemical_formula_sum 'Cr4 Fe2 P2'
_cell_length_a 3.587
_cell_length_b 2.602
_cell_length_c 9.230
_cell_angle_alpha 90.00
_cell_angle_beta 90.00
_cell_angle_gamma 90.00
_space_group_name_H-M_alt 'A m m 2'
_space_group_IT_number 38
loop_
_space_group_symop_operation_xyz
'x,y,z'
'-x,-y,z'
'-x,y,z'
'x,-y,z'
'x,y+1/2,z+1/2'
'-x,-y+1/2,z+1/2'
'-x,y+1/2,z+1/2'
'x,-y+1/2,z+1/2'
loop_
_atom_site_label
_atom_site_type_symbol
_atom_site_fract_x
_atom_site_fract_y
_atom_site_fract_z
Cr1 Cr 0.000 0.000 0.000
Cr2 Cr 0.500 0.000 0.345
Fe1 Fe 0.000 0.000 0.738
P1 P 0.500 0.000 0.600
```